A relaxed structure of SmDyO3. Source: Alexandria, functional PBEsol. Values from VASP.

Structure (Quantum ESPRESSO input):
```
&SYSTEM
  ibrav = 0, nat = 20, ntyp = 3
/
ATOMIC_SPECIES
Sm 150.36 Sm.upf
Dy 162.50 Dy.upf
O 16.00 O.upf
CELL_PARAMETERS angstrom
5.700 0.000 0.000
0.000 5.960 0.000
0.000 0.000 8.411
ATOMIC_POSITIONS crystal
Sm 0.977 0.056 0.250
Sm 0.477 0.444 0.750
Sm 0.523 0.556 0.250
Sm 0.023 0.944 0.750
Dy 0.500 0.000 0.000
Dy 0.500 0.000 0.500
Dy 0.000 0.500 0.000
Dy 0.000 0.500 0.500
O 0.646 0.073 0.750
O 0.190 0.193 0.579
O 0.190 0.193 0.921
O 0.690 0.307 0.421
O 0.690 0.307 0.079
O 0.146 0.427 0.250
O 0.854 0.573 0.750
O 0.310 0.693 0.921
O 0.310 0.693 0.579
O 0.810 0.807 0.079
O 0.810 0.807 0.421
O 0.354 0.927 0.250
```

Results
* SG: Pnma
* crystal system: orthorhombic
* ΔE_f (raw): -17.4 eV per formula unit
* energy: -8.653 eV/atom